A geometry-optimized TbB2Ru structure, computed with PBE.

For the energy of formation, the calculation gives -0.59 eV per atom. The magnetic moment comes out at 0.0000 μB per atom. The value obtained for the density of states at the Fermi level is 12.41 states/eV per cell. The energy relative to the lowest polymorph listed for this composition comes out at 0.000 eV per atom.

It has space group Pnma (No. 62), with a = 5.934 Å, b = 5.341 Å, c = 6.384 Å, α = 90.00°, β = 90.00° and γ = 90.00°. The distinct sites, in fractional coordinates, are Tb at (0.010, 0.250, 0.162), B at (0.129, 0.585, 0.461) and Ru at (0.183, 0.250, 0.682).